[1]
DFT (PBE) results for LiReW2 after structural relaxation.

Output
space-group type	No. 8
offset from the most stable computed form	157	meV/atom

a b c (Å): 4.7039 4.7039 5.1667
angles (deg): 86.63 86.63 32.36
Closest atoms and distances in Å follow each position.
Fractional coordinates of all 4 atoms:
1 W 0.0009 0.0009 0.0050  5 W 2.62-2.87, 3 Re 2.67-2.86, 4 Li 2.87-2.92
2 W 0.7482 0.7482 0.7375  3 Li 2.62-2.84, 5 W 2.62-2.87, 2 Re 2.80
3 Re 0.2502 0.2502 0.2580  2 Re 2.62, 3 Li 2.65-2.83, 5 W 2.67-2.86
4 Li 0.5007 0.5007 0.4996  7 W 2.62-2.92, 2 Li 2.62, 3 Re 2.65-2.83


[2]
DFT (PBE) results for LiReW2 after structural relaxation.

Output
space-group type	No. 216
offset from the most stable computed form	135	meV/atom

a b c (Å): 4.3814 4.3814 4.3814
angles (deg): 60.00 60.00 60.00
Closest atoms and distances in Å follow each position.
Fractional coordinates of all 4 atoms:
1 W 0.2500 0.2500 0.2500  4 W 2.68, 4 Li 2.68
2 W 0.0000 0.0000 0.0000  4 W 2.68, 4 Re 2.68
3 Re 0.7500 0.7500 0.7500  4 W 2.68, 4 Li 2.68
4 Li 0.5000 0.5000 0.5000  4 Re 2.68, 4 W 2.68


[3]
DFT (PBE) results for LiReW2 after structural relaxation.

Output
space-group type	No. 44
offset from the most stable computed form	91	meV/atom

a b c (Å): 5.1524 5.1524 5.1524
angles (deg): 144.97 129.04 63.34
Closest atoms and distances in Å follow each position.
Fractional coordinates of all 4 atoms:
1 W 0.7574 0.2574 0.5000  2 W 2.66, 4 Re 2.71, 2 Li 2.77
2 W 0.0041 0.0041 0.0000  2 Re 2.60, 2 W 2.66, 4 Li 2.71
3 Li 0.4959 0.4959 0.0000  6 W 2.71-2.77, 2 Re 2.71
4 Re 0.2426 0.7426 0.5000  6 W 2.60-2.71, 2 Li 2.71


[4]
DFT (PBE) results for Li4ReW after structural relaxation.

Output
space-group type	No. 216

a b c (Å): 4.7270 4.7270 4.7270
angles (deg): 60.00 60.00 60.00
Closest atoms and distances in Å follow each position.
Fractional coordinates of all 6 atoms:
1 W 0.0000 0.0000 0.0000  12 Li 2.77, 4 Re 2.89
2 Li 0.3759 0.8724 0.3759  6 Li 2.35-2.38
3 Li 0.3759 0.3759 0.3759  6 Li 2.35-2.38
4 Li 0.3759 0.3759 0.8724  6 Li 2.35-2.38
5 Li 0.8724 0.3759 0.3759  6 Li 2.35-2.38
6 Re 0.7500 0.7500 0.7500  12 Li 2.77, 4 W 2.89


[5]
DFT (PBE) results for LiReW4 after structural relaxation.

Output
space-group type	No. 216

a b c (Å): 5.2177 5.2177 5.2177
angles (deg): 60.00 60.00 60.00
Closest atoms and distances in Å follow each position.
Fractional coordinates of all 6 atoms:
1 W 0.6243 0.6243 0.1270  6 W 2.60-2.62
2 W 0.6243 0.6243 0.6243  6 W 2.60-2.62
3 W 0.1270 0.6243 0.6243  6 W 2.60-2.62
4 W 0.6243 0.1270 0.6243  6 W 2.60-2.62
5 Re 0.0000 0.0000 0.0000  12 W 3.06, 4 Li 3.20
6 Li 0.2500 0.2500 0.2500  12 W 3.06, 4 Re 3.20


[6]
DFT (PBE) results for LiYRe2 after structural relaxation.

Output
space-group type	No. 123
offset from the most stable computed form	163	meV/atom

a b c (Å): 4.8082 3.7861 3.7861
angles (deg): 90.00 90.00 90.00
Closest atoms and distances in Å follow each position.
Fractional coordinates of all 4 atoms:
1 Li 0.5000 0.0000 0.5000  4 Y 2.68
2 Re 0.0000 0.0000 0.0000  4 Re 2.68
3 Re 0.0000 0.5000 0.5000  4 Re 2.68
4 Y 0.5000 0.5000 0.0000  4 Li 2.68


Number 1: total magnetization 0.0000 μB/atom, electronic total energy -38.67 eV/cell, DFT formation energy 0.401 eV/atom. Number 2: total magnetization 0.0000 μB/atom, electronic total energy -38.76 eV/cell, DFT formation energy 0.378 eV/atom. Number 3: total magnetization 0.0000 μB/atom, electronic total energy -38.93 eV/cell, DFT formation energy 0.334 eV/atom. Number 4: total magnetization 0.0000 μB/atom, electronic total energy -30.07 eV/cell, DFT formation energy 0.498 eV/atom. Number 5: total magnetization 0.0000 μB/atom, electronic total energy -63.05 eV/cell, DFT formation energy 0.521 eV/atom. Number 6: total magnetization 0.0000 μB/atom, electronic total energy -31.91 eV/cell, DFT formation energy 0.341 eV/atom.